DFT (PBE) results for a relaxed structure of NaPm2CuO5.

Results
raw total energy = -120.303 eV/cell

Cell lengths 5.6009, 6.6870, 6.6870 Å; angles 90.00, 90.00, 90.00 degrees
Sites, in units of the cell vectors:
O: 0.5000 0.5000 0.5000
O: 0.7598 0.1318 0.6318
O: 0.7598 0.6318 0.8682
O: 0.2402 0.1318 0.6318
O: 0.5000 0.0000 0.0000
O: 0.2402 0.3682 0.1318
O: 0.2402 0.6318 0.8682
O: 0.7598 0.3682 0.1318
O: 0.2402 0.8682 0.3682
O: 0.7598 0.8682 0.3682
Pm: 0.5000 0.8228 0.6772
Pm: 0.5000 0.3228 0.8228
Pm: 0.5000 0.1772 0.3228
Pm: 0.5000 0.6772 0.1772
Na: 0.0000 0.0000 0.0000
Na: 0.0000 0.5000 0.5000
Cu: 0.0000 0.5000 0.0000
Cu: 0.0000 0.0000 0.5000